Here is a relaxed Al4CrGa crystal from Alexandria. Energies are from GGA-PBE.

Properties
Its density is 4.03 g cm⁻³. The calculation puts the total magnetization at 1.813 Bohr magnetons per cell. The value obtained for the total energy is -27.42 eV per formula unit. Its density of states at the Fermi level is 2.410 states/eV/f.u. The calculation puts the energy of formation from the pure elements at 0.2 eV/f.u.

a b c (Å): 5.188 4.961 7.344
angles (deg): 90.00 90.00 90.00
Space group Pmna (No. 53)
Asymmetric unit:
1 Al 0.000 0.235 0.123 (multiplicity 4)
2 Al 0.250 0.221 0.750 (multiplicity 4)
3 Cr 0.000 0.000 0.500 (multiplicity 2)
4 Ga 0.000 0.500 0.500 (multiplicity 2)